1.
The following is a PBE calculation of Zr3Ag2Hg3 after structural relaxation, from the Alexandria database.

Its space group is Pmmm (47). As for the density of states at the Fermi level: 9.099 states/eV/cell. The value obtained for the total energy is -32.6 eV/cell.

Cell lengths 4.3382, 4.3913, 8.8333 Å; angles 90.00, 90.00, 90.00 degrees
Closest atoms and distances in Å follow each position.
Fractional positions:
Zr1 0.0000 0.0000 0.0000  4 Ag 3.06, 4 Hg 3.09, 4 Zr 3.09
Zr2 0.0000 0.5000 0.2458  6 Hg 3.07-3.14, 4 Ag 3.09, 2 Zr 3.09
Zr3 0.0000 0.5000 0.7542  6 Hg 3.07-3.14, 4 Ag 3.09, 2 Zr 3.09
Ag1 0.5000 0.0000 0.2443  6 Zr 3.06-3.09, 6 Hg 3.08-3.15
Ag2 0.5000 0.0000 0.7557  6 Zr 3.06-3.09, 6 Hg 3.08-3.15
Hg1 0.0000 0.0000 0.5000  4 Hg 3.09, 4 Ag 3.13, 4 Zr 3.14
Hg2 0.5000 0.5000 0.0000  8 Zr 3.07-3.09, 4 Ag 3.08
Hg3 0.5000 0.5000 0.5000  4 Hg 3.09, 4 Zr 3.12, 4 Ag 3.15

2.
The following is a PBE calculation of ZrAg4Hg after structural relaxation, from the Alexandria database.

Its space group is F-43m (216). As for the density of states at the Fermi level: 2.809 states/eV/cell. The value obtained for the total energy is -19.7 eV/cell.

Cell lengths 5.4834, 5.4834, 5.4834 Å; angles 60.00, 60.00, 60.00 degrees
Closest atoms and distances in Å follow each position.
Fractional positions:
Zr1 0.0000 0.0000 0.0000  12 Ag 3.21, 4 Hg 3.36
Ag1 0.1245 0.6252 0.6252  6 Ag 2.74-2.75
Ag2 0.6252 0.1245 0.6252  6 Ag 2.74-2.75
Ag3 0.6252 0.6252 0.1245  6 Ag 2.74-2.75
Ag4 0.6252 0.6252 0.6252  6 Ag 2.74-2.75
Hg1 0.2500 0.2500 0.2500  12 Ag 3.22, 4 Zr 3.36

Q: Among the records above, which one has the lowest total energy?
A: Zr3Ag2Hg3

Please write out number 2 again, unchanged.
The following is a PBE calculation of ZrAg4Hg after structural relaxation, from the Alexandria database.

Its space group is F-43m (216). As for the density of states at the Fermi level: 2.809 states/eV/cell. The value obtained for the total energy is -19.7 eV/cell.

Cell lengths 5.4834, 5.4834, 5.4834 Å; angles 60.00, 60.00, 60.00 degrees
Closest atoms and distances in Å follow each position.
Fractional positions:
Zr1 0.0000 0.0000 0.0000  12 Ag 3.21, 4 Hg 3.36
Ag1 0.1245 0.6252 0.6252  6 Ag 2.74-2.75
Ag2 0.6252 0.1245 0.6252  6 Ag 2.74-2.75
Ag3 0.6252 0.6252 0.1245  6 Ag 2.74-2.75
Ag4 0.6252 0.6252 0.6252  6 Ag 2.74-2.75
Hg1 0.2500 0.2500 0.2500  12 Ag 3.22, 4 Zr 3.36

Q: Among the records above, which one has the highest total energy?
A: ZrAg4Hg